Entry 1:
Computed, not measured: a crystal of InCuAs relaxed with PBEsol at the SCAN level of DFT.

Output
E_tot = -22.861 eV per atom
space-group type = No. 156
energy relative to the elements = 65 meV/atom

```
InCuAs
1.0
3.998 0.000 0.000
-1.999 3.462 0.000
0.000 0.000 4.136
In Cu As
1 1 1
direct
0.000 0.000 0.000 In
0.667 0.333 0.383 Cu
0.333 0.667 0.534 As
```

=====

Entry 2:
Computed, not measured: a crystal of CuAsIr2 relaxed with PBEsol at the SCAN level of DFT.

Output
E_tot = -44.158 eV per atom
space-group type = No. 44
energy relative to the elements = 240 meV/atom

```
CuAsIr2
1.0
-1.440 2.125 4.550
1.440 -2.125 4.550
1.440 2.125 -4.550
Cu As Ir
1 1 2
direct
0.000 0.000 0.000 Cu
0.759 0.259 0.500 As
0.269 0.769 0.500 Ir
0.540 0.540 0.000 Ir
```

=====

Entry 3:
Computed, not measured: a crystal of CuAsIr relaxed with PBEsol at the SCAN level of DFT.

Output
E_tot = -35.517 eV per atom
space-group type = No. 216
energy relative to the elements = -21 meV/atom

```
CuAsIr
1.0
0.000 2.881 2.881
2.881 0.000 2.881
2.881 2.881 0.000
Cu As Ir
1 1 1
direct
0.000 0.000 0.000 Cu
0.500 0.500 0.500 As
0.250 0.250 0.250 Ir
```